A relaxed structure of MoSeCl2. Source: Alexandria, functional PBE.

a = 3.0694 Å, b = 3.0694 Å, c = 32.8946 Å
α = 90.00°, β = 90.00°, γ = 120.00°
Positions (direct):
Mo (0.0000, 0.0000, 0.0000)
Mo (0.3333, 0.6667, 0.6667)
Mo (0.6667, 0.3333, 0.3333)
Se (0.0000, 0.0000, 0.5000)
Se (0.3333, 0.6667, 0.1667)
Se (0.6667, 0.3333, 0.8333)
Cl (0.0000, 0.0000, 0.3861)
Cl (0.0000, 0.0000, 0.6139)
Cl (0.3333, 0.6667, 0.0528)
Cl (0.3333, 0.6667, 0.2806)
Cl (0.6667, 0.3333, 0.7194)
Cl (0.6667, 0.3333, 0.9472)

Calculated values
The mass density comes out at 4.56 Mg/m³. The formation energy (no corrections) is -0.15 eV per atom. As for the space group: R-3m (166).

---

A relaxed structure of TbDyPdAu. Source: Alexandria, functional PBE.

a = 4.6706 Å, b = 3.7567 Å, c = 10.6772 Å
α = 90.00°, β = 90.00°, γ = 90.00°
Positions (direct):
Tb (0.0000, 0.0000, 0.0000)
Tb (0.0000, 0.5000, 0.5000)
Dy (0.5000, 0.0000, 0.7237)
Dy (0.5000, 0.5000, 0.2237)
Pd (0.0000, 0.0000, 0.2736)
Pd (0.0000, 0.5000, 0.7736)
Au (0.5000, 0.0000, 0.4461)
Au (0.5000, 0.5000, 0.9461)

Calculated values
The formation energy from the elements comes out at -0.90 eV per atom. The mass density comes out at 11.08 Mg/m³. As for the space group: Amm2 (38).

---

A relaxed structure of Th3CdIr. Source: Alexandria, functional PBE.

a = 5.8098 Å, b = 7.4853 Å, c = 7.0589 Å
α = 90.00°, β = 109.00°, γ = 90.00°
Positions (direct):
Th (0.1547, 0.2500, 0.1565)
Th (0.2963, 0.0238, 0.6999)
Th (0.2963, 0.4762, 0.6999)
Th (0.7037, 0.5238, 0.3001)
Th (0.7037, 0.9762, 0.3001)
Th (0.8453, 0.7500, 0.8435)
Cd (0.2110, 0.7500, 0.3112)
Cd (0.7890, 0.2500, 0.6888)
Ir (0.3956, 0.7500, 0.9756)
Ir (0.6044, 0.2500, 0.0244)

Calculated values
The formation energy from the elements comes out at -0.32 eV per atom. The mass density comes out at 11.45 Mg/m³. As for the space group: P2_1/m (11).

---

| no. | DOS at the Fermi energy (states/eV per cell) |
| --- | --- |
| 1 | 6.9 |
| 2 | 4.3 |
| 3 | 8.6 |